Entry 1:
## PmTiSi2Pt2 (PBE-GGA)

Data for a relaxed structure of PmTiSi2Pt2.

POSCAR file:
```
PmTiSi2Pt2
1.0
4.250 0.000 0.000
-2.125 3.680 0.000
0.000 0.000 6.895
Pm Ti Si Pt
1 1 2 2
direct
0.000 0.000 0.000 Pm
0.000 0.000 0.500 Ti
0.333 0.667 0.702 Si
0.667 0.333 0.298 Si
0.333 0.667 0.310 Pt
0.667 0.333 0.690 Pt
```

Properties
The uncorrected formation energy is -1.05 eV/atom. For the total moment, the calculation gives 0.217 Bohr magnetons per cell.


Entry 2:
## BaBeMoRh2 (PBE-GGA)

Data for a relaxed structure of BaBeMoRh2.

POSCAR file:
```
BaBeMoRh2
1.0
4.723 0.000 0.000
0.000 4.723 0.000
0.000 0.000 5.825
Ba Be Mo Rh
1 1 1 2
direct
0.000 0.000 0.000 Ba
0.500 0.500 0.000 Be
0.000 0.000 0.500 Mo
0.000 0.500 0.500 Rh
0.500 0.000 0.500 Rh
```

Properties
For the total moment, the calculation gives 0.000 Bohr magnetons per cell. For the calculated formation energy, the calculation gives 1.31 eV/atom.


Entry 3:
## PmSi2Rh3 (PBE-GGA)

Data for a relaxed structure of PmSi2Rh3.

POSCAR file:
```
PmSi2Rh3
1.0
8.006 -1.997 0.000
8.006 1.997 0.000
-3.023 0.000 9.300
Pm Si Rh
3 6 9
direct
0.000 0.000 0.000 Pm
0.160 0.160 0.700 Pm
0.840 0.840 0.300 Pm
0.196 0.196 0.127 Si
0.362 0.362 0.554 Si
0.466 0.466 0.226 Si
0.534 0.534 0.774 Si
0.638 0.638 0.446 Si
0.804 0.804 0.873 Si
0.042 0.042 0.332 Rh
0.218 0.218 0.393 Rh
0.324 0.324 0.042 Rh
0.377 0.377 0.801 Rh
0.500 0.500 0.500 Rh
0.623 0.623 0.199 Rh
0.676 0.676 0.958 Rh
0.782 0.782 0.607 Rh
0.958 0.958 0.668 Rh
```

Properties
The uncorrected formation energy is -0.97 eV/atom. For the total moment, the calculation gives 0.000 Bohr magnetons per cell. For the energy above the most stable polymorph in this dataset, the calculation gives 50.4 meV per atom.


Computed values of energy (unit: eV/atom) for the preceding records, in sequence: -6.9817, -4.9309, -7.2473.